Compound: Er3Co3Si8
Source: the Alexandria database
Functional: PBE-GGA
Structure: relaxed

Output
E = -6.13 eV per atom
N(E_F) = 7.9 states/eV per cell
energy above the most stable polymorph in this dataset = 0.03 eV per formula unit
total magnetization = 0.0 μB/f.u.
E_form (uncorrected) = -526.7 meV per atom

a = 4.022 Å, b = 7.610 Å, c = 8.233 Å
α = 63.07°, β = 75.86°, γ = 74.68°
Positions (direct):
Si 0.479 0.331 0.711
Si 0.111 0.162 0.615
Si 0.856 0.434 0.854
Si 0.521 0.669 0.289
Si 0.364 0.027 0.246
Co 0.323 0.343 0.011
Er 0.293 0.754 0.660
Er 0.707 0.246 0.340
Er 0.000 0.000 0.000
Co 0.677 0.657 0.989
Si 0.144 0.566 0.146
Si 0.636 0.973 0.754
Si 0.889 0.838 0.385
Co 0.000 0.500 0.500


Compound: Er5Co4Si14
Source: the Alexandria database
Functional: PBE-GGA
Structure: relaxed

Output
E = -6.19 eV per atom
N(E_F) = 18.6 states/eV per cell
total magnetization = 0.0 μB/f.u.
E_form (uncorrected) = -660.4 meV per atom

a = 7.801 Å, b = 7.723 Å, c = 12.337 Å
α = 81.20°, β = 90.00°, γ = 90.00°
Positions (direct):
Er 0.249 0.839 0.136
Co 0.127 0.372 0.500
Si 0.774 0.462 0.677
Er 0.749 0.661 0.864
Co 0.000 0.061 0.251
Si 0.166 0.666 0.500
Si 0.505 0.268 0.323
Si 0.274 0.038 0.323
Si 0.666 0.834 0.500
Si 0.500 0.609 0.061
Co 0.500 0.439 0.749
Co 0.627 0.128 0.500
Si 0.834 0.334 0.500
Co 0.373 0.872 0.500
Si 0.226 0.538 0.323
Si 0.000 0.891 0.939
Si 0.334 0.166 0.500
Si 0.500 0.888 0.941
Si 0.500 0.391 0.939
Si 0.994 0.682 0.677
Er 0.500 0.500 0.500
Co 0.500 0.561 0.251
Si 0.226 0.450 0.677
Si 0.000 0.109 0.061
Si 0.000 0.612 0.059
Si 0.726 0.050 0.323
Si 0.726 0.962 0.677
Er 0.751 0.161 0.864
Er 0.752 0.342 0.136
Si 0.500 0.112 0.059
Si 0.006 0.318 0.323
Si 0.274 0.950 0.677
Si 0.005 0.232 0.677
Er 0.252 0.158 0.864
Co 0.873 0.628 0.500
Si 0.000 0.388 0.941
Si 0.995 0.768 0.323
Er 0.000 0.000 0.500
Si 0.506 0.182 0.677
Si 0.495 0.732 0.677
Er 0.748 0.842 0.136
Co 0.000 0.939 0.749
Er 0.248 0.658 0.864
Er 0.251 0.339 0.136
Si 0.774 0.550 0.323
Si 0.494 0.818 0.323


Compound: ErCo9Si4
Source: the Alexandria database
Functional: PBE-GGA
Structure: relaxed

Output
E = -6.93 eV per atom
N(E_F) = 27.7 states/eV per cell
total magnetization = 4.7 μB/f.u.
E_form (uncorrected) = -484.8 meV per atom

a = 7.882 Å, b = 7.882 Å, c = 7.882 Å
α = 121.62°, β = 121.62°, γ = 87.21°
Site moments in Bohr magnetons follow the coordinates.
Positions (direct):
Co 0.000 0.500 0.500  0.31
Co 0.187 0.951 0.500  0.26
Co 0.198 0.071 0.269  0.91
Si 0.290 0.454 0.500  -0.02
Co 0.313 0.813 0.764  0.26
Si 0.546 0.046 0.836  -0.02
Co 0.813 0.049 0.500  0.26
Co 0.429 0.302 0.731  0.91
Si 0.790 0.290 0.836  -0.02
Co 0.951 0.451 0.764  0.26
Co 0.549 0.313 0.500  0.26
Co 0.929 0.198 0.127  0.91
Co 0.687 0.187 0.236  0.26
Si 0.454 0.954 0.164  -0.02
Si 0.954 0.790 0.500  -0.02
Co 0.698 0.429 0.127  0.91
Co 0.049 0.549 0.236  0.26
Co 0.302 0.571 0.873  0.91
Er 0.750 0.750 0.000  -0.08
Co 0.571 0.698 0.269  0.91
Co 0.802 0.929 0.731  0.91
Co 0.500 0.000 0.500  0.31
Er 0.250 0.250 0.000  -0.08
Co 0.071 0.802 0.873  0.91
Co 0.451 0.687 0.500  0.26
Si 0.710 0.546 0.500  -0.02
Si 0.210 0.710 0.164  -0.02
Si 0.046 0.210 0.500  -0.02


Compound: ErCo2Si3
Source: the Alexandria database
Functional: PBE-GGA
Structure: relaxed

Output
E = -6.50 eV per atom
N(E_F) = 4.8 states/eV per cell
total magnetization = 0.0 μB/f.u.
E_form (uncorrected) = -663.7 meV per atom

a = 5.016 Å, b = 5.908 Å, c = 5.908 Å
α = 104.07°, β = 90.00°, γ = 90.00°
Positions (direct):
Er 0.250 0.337 0.337
Co 0.000 0.799 0.201
Si 0.250 0.938 0.938
Si 0.750 0.100 0.472
Co 0.500 0.201 0.799
Si 0.250 0.528 0.900
Si 0.750 0.062 0.062
Si 0.250 0.900 0.528
Si 0.750 0.472 0.100
Co 0.500 0.799 0.201
Co 0.000 0.201 0.799
Er 0.750 0.663 0.663